[1]
# Mn2MoSe SCAN PBEsol geometry
# density of states at the Fermi level = 2.38 states/eV/f.u.
# energy relative to the elements, uncorrected = 0.18 eV per atom
# electronic total energy = -90.744 eV per formula unit
data_Mn2MoSe
_space_group_name_H-M_alt 'F -4 3 m'
_space_group_IT_number 216
_space_group_name_Hall 'F -4 2 3'
_cell_length_a 5.906
_cell_length_b 5.906
_cell_length_c 5.906
_cell_angle_alpha 90.00
_cell_angle_beta 90.00
_cell_angle_gamma 90.00
loop_
_atom_site_label
_atom_site_type_symbol
_atom_site_fract_x
_atom_site_fract_y
_atom_site_fract_z
Mn1 Mn 0.000 0.000 0.000
Mn2 Mn 0.250 0.250 0.250
Mo1 Mo 0.250 0.250 0.750
Se1 Se 0.000 0.000 0.500

[2]
# BaIr2Os SCAN PBEsol geometry
# density of states at the Fermi level = 3.89 states/eV/f.u.
# relative energy among the computed polymorphs = 604.5 meV per atom
# electronic total energy = -251.215 eV per formula unit
# formation energy = 0.6033 eV per atom
data_BaIr2Os
_space_group_name_H-M_alt 'P 1 m 1'
_space_group_IT_number 6
_cell_length_a 2.852
_cell_length_b 4.246
_cell_length_c 6.766
_cell_angle_alpha 90.00
_cell_angle_beta 101.00
_cell_angle_gamma 90.00
loop_
_space_group_symop_operation_xyz
'x,y,z'
'x,-y,z'
loop_
_atom_site_label
_atom_site_type_symbol
_atom_site_fract_x
_atom_site_fract_y
_atom_site_fract_z
Ba1 Ba 0.000 0.000 0.000
Ir1 Ir 0.642 0.500 0.299
Ir2 Ir 0.735 0.000 0.519
Os1 Os 0.289 0.500 0.627

Repeat the first record exactly.
# Mn2MoSe SCAN PBEsol geometry
# density of states at the Fermi level = 2.38 states/eV/f.u.
# energy relative to the elements, uncorrected = 0.18 eV per atom
# electronic total energy = -90.744 eV per formula unit
data_Mn2MoSe
_space_group_name_H-M_alt 'F -4 3 m'
_space_group_IT_number 216
_space_group_name_Hall 'F -4 2 3'
_cell_length_a 5.906
_cell_length_b 5.906
_cell_length_c 5.906
_cell_angle_alpha 90.00
_cell_angle_beta 90.00
_cell_angle_gamma 90.00
loop_
_atom_site_label
_atom_site_type_symbol
_atom_site_fract_x
_atom_site_fract_y
_atom_site_fract_z
Mn1 Mn 0.000 0.000 0.000
Mn2 Mn 0.250 0.250 0.250
Mo1 Mo 0.250 0.250 0.750
Se1 Se 0.000 0.000 0.500

> electronic total energy of number 1 (Mn2MoSe)?

-90.744 eV per formula unit

> Among the records above, which one has the highest electronic total energy?

Mn2MoSe